Entry 1:
Compound: RbY2AgF8
Source: the Alexandria database
Functional: GGA-PBE
Structure: relaxed

- Density of states at the Fermi level: 0.0 states/eV/f.u.
- Symmetry: P2/m
- Formation energy from raw total energies: -3.350 eV per atom

a = 6.424 Å, b = 3.913 Å, c = 7.705 Å
α = 90.00°, β = 93.97°, γ = 90.00°
Atoms (fractional coordinates):
Rb 0.000 0.000 0.000
Y 0.480 0.500 0.746
Y 0.520 0.500 0.254
Ag 0.000 0.000 0.500
F 0.262 0.000 0.727
F 0.297 0.500 0.482
F 0.304 0.500 0.992
F 0.343 0.000 0.244
F 0.657 0.000 0.756
F 0.696 0.500 0.008
F 0.703 0.500 0.518
F 0.738 0.000 0.273



Entry 2:
Compound: Ti3TcN
Source: the Alexandria database
Functional: GGA-PBE
Structure: relaxed

- Density of states at the Fermi level: 10.8 states/eV/f.u.
- Symmetry: Pm-3m
- Formation energy from raw total energies: 1.465 eV per atom
- Energy relative to the lowest polymorph listed for this composition: 2247 meV per atom

a = 4.650 Å, b = 4.650 Å, c = 4.650 Å
α = 90.00°, β = 90.00°, γ = 90.00°
Atoms (fractional coordinates):
Ti 0.000 0.000 0.500
Ti 0.000 0.500 0.000
Ti 0.500 0.000 0.000
Tc 0.000 0.000 0.000
N 0.500 0.500 0.500



Entry 3:
Compound: Ho2ErSe
Source: the Alexandria database
Functional: GGA-PBE
Structure: relaxed

- Density of states at the Fermi level: 4.0 states/eV/f.u.
- Symmetry: R3m
- Formation energy from raw total energies: -0.801 eV per atom
- Energy relative to the lowest polymorph listed for this composition: 0 meV per atom

a = 9.574 Å, b = 9.574 Å, c = 9.574 Å
α = 22.68°, β = 22.68°, γ = 22.68°
Atoms (fractional coordinates):
Ho 0.000 0.000 0.000
Ho 0.200 0.200 0.200
Er 0.768 0.768 0.768
Se 0.600 0.600 0.600



Entry 4:
Compound: LiMg2Tc
Source: the Alexandria database
Functional: GGA-PBE
Structure: relaxed

- E_form: 161.1 meV per atom
- Density of states at the Fermi level: 2.6 states/eV/f.u.
- Symmetry: Cmmm
- Energy relative to the lowest polymorph listed for this composition: 2 meV per atom

a = 4.953 Å, b = 4.953 Å, c = 2.840 Å
α = 90.00°, β = 90.00°, γ = 104.01°
Atoms (fractional coordinates):
Li 0.000 0.000 0.000
Mg 0.000 0.500 0.500
Mg 0.500 0.000 0.500
Tc 0.500 0.500 0.000



Entry 5:
Compound: Mg3InPb3
Source: the Alexandria database
Functional: GGA-PBE
Structure: relaxed

- E_form: 449.5 meV per atom
- Density of states at the Fermi level: 4.8 states/eV/f.u.
- Symmetry: Pm-3n
- Energy relative to the lowest polymorph listed for this composition: 454 meV per atom

a = 8.108 Å, b = 8.108 Å, c = 8.108 Å
α = 90.00°, β = 90.00°, γ = 90.00°
Atoms (fractional coordinates):
Mg 0.000 0.250 0.500
Mg 0.000 0.750 0.500
Mg 0.250 0.500 0.000
Mg 0.500 0.000 0.250
Mg 0.500 0.000 0.750
Mg 0.750 0.500 0.000
In 0.000 0.000 0.000
In 0.500 0.500 0.500
Pb 0.000 0.500 0.250
Pb 0.000 0.500 0.750
Pb 0.250 0.000 0.500
Pb 0.500 0.250 0.000
Pb 0.500 0.750 0.000
Pb 0.750 0.000 0.500



Entry 6:
Compound: CuBi2Se3
Source: the Alexandria database
Functional: GGA-PBE
Structure: relaxed

- Density of states at the Fermi level: 1.8 states/eV/f.u.
- Symmetry: Imm2
- Formation energy from raw total energies: -0.166 eV per atom

a = 9.073 Å, b = 9.073 Å, c = 9.073 Å
α = 153.53°, β = 39.65°, γ = 151.02°
Atoms (fractional coordinates):
Cu 0.000 0.000 0.000
Bi 0.188 0.851 0.337
Bi 0.515 0.851 0.663
Se 0.238 0.738 0.500
Se 0.668 0.823 0.845
Se 0.979 0.823 0.155



Entry 7:
Compound: NaICl6
Source: the Alexandria database
Functional: GGA-PBE
Structure: relaxed

- Density of states at the Fermi level: 0.0 states/eV/f.u.
- Symmetry: C2/c
- Formation energy from raw total energies: -0.527 eV per atom
- Energy relative to the lowest polymorph listed for this composition: 0 meV per atom

a = 6.818 Å, b = 6.818 Å, c = 11.740 Å
α = 92.79°, β = 92.79°, γ = 74.12°
Atoms (fractional coordinates):
Na 0.046 0.954 0.750
Na 0.954 0.046 0.250
I 0.000 0.500 0.500
I 0.500 0.000 0.000
Cl 0.118 0.624 0.324
Cl 0.149 0.223 0.956
Cl 0.223 0.149 0.456
Cl 0.279 0.594 0.618
Cl 0.376 0.882 0.176
Cl 0.406 0.721 0.882
Cl 0.594 0.279 0.118
Cl 0.624 0.118 0.824
Cl 0.721 0.406 0.382
Cl 0.777 0.851 0.544
Cl 0.851 0.777 0.044
Cl 0.882 0.376 0.676



Entry 8:
Compound: SeF
Source: the Alexandria database
Functional: GGA-PBE
Structure: relaxed

- Density of states at the Fermi level: 0.0 states/eV/f.u.
- Symmetry: P1
- Formation energy from raw total energies: -0.928 eV per atom
- Energy relative to the lowest polymorph listed for this composition: 136 meV per atom

a = 3.511 Å, b = 4.693 Å, c = 6.056 Å
α = 82.39°, β = 73.65°, γ = 74.27°
Atoms (fractional coordinates):
Se 0.000 0.000 0.000
Se 0.284 0.992 0.306
F 0.417 0.595 0.385
F 0.502 0.990 0.748



Entry 9:
Compound: Cs2RbAs2
Source: the Alexandria database
Functional: GGA-PBE
Structure: relaxed

- E_form: -307.3 meV per atom
- Density of states at the Fermi level: 4.8 states/eV/f.u.
- Symmetry: P4/mbm
- Energy relative to the lowest polymorph listed for this composition: 43 meV per atom

a = 8.816 Å, b = 8.816 Å, c = 5.689 Å
α = 90.00°, β = 90.00°, γ = 90.00°
Atoms (fractional coordinates):
Cs 0.167 0.333 0.000
Cs 0.333 0.833 0.000
Cs 0.667 0.167 0.000
Cs 0.833 0.667 0.000
Rb 0.000 0.000 0.500
Rb 0.500 0.500 0.500
As 0.098 0.598 0.500
As 0.402 0.098 0.500
As 0.598 0.902 0.500
As 0.902 0.402 0.500



Entry 10:
Compound: RbInMo3
Source: the Alexandria database
Functional: GGA-PBE
Structure: relaxed

- E_form: 2558.8 meV per atom
- Density of states at the Fermi level: 8.8 states/eV/f.u.
- Symmetry: Pm-3m
- Energy relative to the lowest polymorph listed for this composition: 0 meV per atom

a = 5.131 Å, b = 5.131 Å, c = 5.131 Å
α = 90.00°, β = 90.00°, γ = 90.00°
Atoms (fractional coordinates):
Rb 0.000 0.000 0.000
In 0.500 0.500 0.500
Mo 0.000 0.500 0.500
Mo 0.500 0.000 0.500
Mo 0.500 0.500 0.000



Entry 11:
Compound: PmHoAg2S4
Source: the Alexandria database
Functional: GGA-PBE
Structure: relaxed

- Density of states at the Fermi level: 0.0 states/eV/f.u.
- Symmetry: P2/m
- Formation energy from raw total energies: -1.265 eV per atom

a = 6.533 Å, b = 4.079 Å, c = 7.053 Å
α = 90.00°, β = 110.50°, γ = 90.00°
Atoms (fractional coordinates):
Pm 0.000 0.000 0.000
Ho 0.000 0.500 0.500
Ag 0.500 0.000 0.500
Ag 0.500 0.500 0.000
S 0.242 0.000 0.739
S 0.245 0.500 0.253
S 0.755 0.500 0.747
S 0.758 0.000 0.261



Entry 12:
Compound: PuFe2As3
Source: the Alexandria database
Functional: GGA-PBE
Structure: relaxed

- E_form: -283.8 meV per atom
- Density of states at the Fermi level: 10.2 states/eV/f.u.
- Symmetry: P2_1/m

a = 4.689 Å, b = 4.009 Å, c = 11.408 Å
α = 90.00°, β = 99.66°, γ = 90.00°
Atoms (fractional coordinates):
Pu 0.236 0.250 0.228
Pu 0.764 0.750 0.772
Fe 0.297 0.250 0.941
Fe 0.315 0.250 0.530
Fe 0.685 0.750 0.470
Fe 0.703 0.750 0.059
As 0.184 0.750 0.428
As 0.202 0.750 0.030
As 0.263 0.250 0.737
As 0.737 0.750 0.263
As 0.798 0.250 0.970
As 0.816 0.250 0.572



Entry 13:
Compound: Sc4BeAu
Source: the Alexandria database
Functional: GGA-PBE
Structure: relaxed

- E_form: 430.3 meV per atom
- Density of states at the Fermi level: 5.1 states/eV/f.u.
- Symmetry: F-43m

a = 5.609 Å, b = 5.609 Å, c = 5.609 Å
α = 60.00°, β = 60.00°, γ = 60.00°
Atoms (fractional coordinates):
Sc 0.125 0.125 0.125
Sc 0.125 0.125 0.624
Sc 0.125 0.624 0.125
Sc 0.624 0.125 0.125
Be 0.500 0.500 0.500
Au 0.750 0.750 0.750



Entry 14:
Compound: IrOsAu2F
Source: the Alexandria database
Functional: GGA-PBE
Structure: relaxed

- Density of states at the Fermi level: 5.6 states/eV/f.u.
- Symmetry: P4/mmm
- Formation energy from raw total energies: 1.351 eV per atom

a = 5.099 Å, b = 5.099 Å, c = 4.659 Å
α = 90.00°, β = 90.00°, γ = 90.00°
Atoms (fractional coordinates):
Ir 0.000 0.000 0.000
Os 0.000 0.000 0.500
Au 0.000 0.500 0.000
Au 0.500 0.000 0.000
F 0.500 0.500 0.500



Entry 15:
Compound: Al2SiHg
Source: the Alexandria database
Functional: GGA-PBE
Structure: relaxed

- Density of states at the Fermi level: 1.6 states/eV/f.u.
- Symmetry: I-4m2
- Formation energy from raw total energies: 0.307 eV per atom
- Energy relative to the lowest polymorph listed for this composition: 134 meV per atom

a = 5.550 Å, b = 5.550 Å, c = 5.550 Å
α = 138.44°, β = 138.44°, γ = 60.23°
Atoms (fractional coordinates):
Al 0.000 0.000 0.000
Al 0.750 0.250 0.500
Si 0.500 0.500 0.000
Hg 0.250 0.750 0.500



Entry 16:
Compound: NdPaSbAu
Source: the Alexandria database
Functional: GGA-PBE
Structure: relaxed

- Density of states at the Fermi level: 9.1 states/eV/f.u.
- Symmetry: F-43m
- Formation energy from raw total energies: -0.437 eV per atom

a = 5.313 Å, b = 5.313 Å, c = 5.313 Å
α = 60.00°, β = 60.00°, γ = 60.00°
Atoms (fractional coordinates):
Nd 0.000 0.000 0.000
Pa 0.500 0.500 0.500
Sb 0.250 0.250 0.250
Au 0.750 0.750 0.750



Entry 17:
Compound: Ac2TeAsPd6
Source: the Alexandria database
Functional: GGA-PBE
Structure: relaxed

- Density of states at the Fermi level: 3.5 states/eV/f.u.
- Symmetry: P-1
- Formation energy from raw total energies: -0.666 eV per atom

a = 6.571 Å, b = 6.614 Å, c = 7.259 Å
α = 63.78°, β = 63.16°, γ = 60.28°
Atoms (fractional coordinates):
Ac 0.239 0.240 0.281
Ac 0.761 0.760 0.719
Te 0.500 0.500 0.500
As 0.000 0.000 0.000
Pd 0.245 0.671 0.839
Pd 0.247 0.241 0.827
Pd 0.316 0.758 0.173
Pd 0.684 0.242 0.827
Pd 0.753 0.759 0.173
Pd 0.755 0.329 0.161



Entry 18:
Compound: LaNbCrC3
Source: the Alexandria database
Functional: GGA-PBE
Structure: relaxed

- E_form: -29.8 meV per atom
- Density of states at the Fermi level: 2.1 states/eV/f.u.
- Symmetry: P2_1/m

a = 7.253 Å, b = 3.392 Å, c = 7.600 Å
α = 90.00°, β = 105.55°, γ = 90.00°
Atoms (fractional coordinates):
La 0.194 0.250 0.207
La 0.806 0.750 0.793
Nb 0.355 0.750 0.860
Nb 0.645 0.250 0.140
Cr 0.099 0.250 0.608
Cr 0.901 0.750 0.392
C 0.123 0.250 0.851
C 0.171 0.750 0.533
C 0.446 0.750 0.147
C 0.554 0.250 0.853
C 0.829 0.250 0.467
C 0.877 0.750 0.149



Entry 19:
Compound: CaInIBr4
Source: the Alexandria database
Functional: GGA-PBE
Structure: relaxed

- Density of states at the Fermi level: 0.0 states/eV/f.u.
- Symmetry: C2/m
- Formation energy from raw total energies: -1.162 eV per atom

a = 8.277 Å, b = 8.277 Å, c = 10.763 Å
α = 94.44°, β = 94.44°, γ = 59.83°
Atoms (fractional coordinates):
Ca 0.150 0.150 0.001
Ca 0.850 0.850 0.999
In 0.354 0.354 0.727
In 0.646 0.646 0.273
I 0.011 0.011 0.199
I 0.989 0.989 0.801
Br 0.027 0.482 0.835
Br 0.309 0.309 0.501
Br 0.481 0.481 0.182
Br 0.482 0.027 0.835
Br 0.518 0.973 0.165
Br 0.519 0.519 0.818
Br 0.691 0.691 0.499
Br 0.973 0.518 0.165



Entry 20:
Compound: Tb4YEr
Source: the Alexandria database
Functional: GGA-PBE
Structure: relaxed

- E_form: 18.5 meV per atom
- Density of states at the Fermi level: 8.0 states/eV/f.u.
- Symmetry: P-1
- Energy relative to the lowest polymorph listed for this composition: 2 meV per atom

a = 5.013 Å, b = 6.157 Å, c = 7.117 Å
α = 73.09°, β = 89.99°, γ = 66.06°
Atoms (fractional coordinates):
Tb 0.166 0.167 0.332
Tb 0.167 0.165 0.834
Tb 0.833 0.835 0.166
Tb 0.834 0.833 0.668
Y 0.500 0.500 0.500
Er 0.500 0.500 0.000



Entry 21:
Compound: TbPr2Au6
Source: the Alexandria database
Functional: GGA-PBE
Structure: relaxed

- E_form: -631.1 meV per atom
- Density of states at the Fermi level: 6.2 states/eV/f.u.
- Symmetry: P-3m1

a = 6.705 Å, b = 6.705 Å, c = 5.559 Å
α = 90.00°, β = 90.00°, γ = 120.00°
Atoms (fractional coordinates):
Tb 0.000 0.000 0.000
Pr 0.333 0.667 0.834
Pr 0.667 0.333 0.166
Au 0.189 0.378 0.324
Au 0.189 0.811 0.324
Au 0.378 0.189 0.676
Au 0.622 0.811 0.324
Au 0.811 0.189 0.676
Au 0.811 0.622 0.676



Entry 22:
Compound: Zn2Sn2H
Source: the Alexandria database
Functional: GGA-PBE
Structure: relaxed

- Final energy: -2.503 eV per atom
- Density of states at the Fermi level: 1.5 states/eV/f.u.
- Symmetry: P4/mbm

a = 5.904 Å, b = 5.904 Å, c = 5.584 Å
α = 90.00°, β = 90.00°, γ = 90.00°
Atoms (fractional coordinates):
Zn 0.222 0.278 0.000
Zn 0.278 0.778 0.000
Zn 0.722 0.222 0.000
Zn 0.778 0.722 0.000
Sn 0.209 0.291 0.500
Sn 0.291 0.791 0.500
Sn 0.709 0.209 0.500
Sn 0.791 0.709 0.500
H 0.000 0.000 0.000
H 0.500 0.500 0.000



Entry 23:
Compound: Tl2InBiPb
Source: the Alexandria database
Functional: GGA-PBE
Structure: relaxed

- E_form: 104.3 meV per atom
- Density of states at the Fermi level: 2.2 states/eV/f.u.
- Symmetry: Cmcm
- Energy relative to the lowest polymorph listed for this composition: 0 meV per atom

a = 8.628 Å, b = 8.628 Å, c = 6.343 Å
α = 90.00°, β = 90.00°, γ = 135.27°
Atoms (fractional coordinates):
Tl 0.245 0.245 0.000
Tl 0.245 0.245 0.500
Tl 0.755 0.755 0.000
Tl 0.755 0.755 0.500
In 0.355 0.645 0.750
In 0.645 0.355 0.250
Bi 0.165 0.835 0.750
Bi 0.835 0.165 0.250
Pb 0.266 0.734 0.250
Pb 0.734 0.266 0.750



Entry 24:
Compound: ZnOsRh3
Source: the Alexandria database
Functional: GGA-PBE
Structure: relaxed

- E_form: 1258.8 meV per atom
- Density of states at the Fermi level: 5.2 states/eV/f.u.
- Symmetry: Pm-3m
- Energy relative to the lowest polymorph listed for this composition: 0 meV per atom

a = 4.707 Å, b = 4.707 Å, c = 4.707 Å
α = 90.00°, β = 90.00°, γ = 90.00°
Atoms (fractional coordinates):
Zn 0.000 0.000 0.000
Os 0.500 0.500 0.500
Rh 0.000 0.500 0.500
Rh 0.500 0.000 0.500
Rh 0.500 0.500 0.000